# SbAsPd | Alexandria | GGA-PBEsol | relaxed
# Volume in Å³ per atom: 20.09
# SG: P2_13, No. 198
# Formation energy (no corrections) in eV/atom: -0.36
# Energy in eV per atom: -5.57
data_SbAsPd
_space_group_name_H-M_alt 'P 1'
_space_group_IT_number 1
_space_group_name_Hall 'P 1'
_cell_length_a 6.223
_cell_length_b 6.223
_cell_length_c 6.223
_cell_angle_alpha 90.00
_cell_angle_beta 90.00
_cell_angle_gamma 90.00
loop_
_atom_site_label
_atom_site_type_symbol
_atom_site_fract_x
_atom_site_fract_y
_atom_site_fract_z
Pd1 Pd 0.510 0.490 0.990
Sb1 Sb 0.378 0.378 0.378
Pd2 Pd 0.010 0.010 0.010
Pd3 Pd 0.990 0.510 0.490
Sb2 Sb 0.122 0.622 0.878
Sb3 Sb 0.622 0.878 0.122
Sb4 Sb 0.878 0.122 0.622
As1 As 0.876 0.376 0.124
Pd4 Pd 0.490 0.990 0.510
As2 As 0.376 0.124 0.876
As3 As 0.624 0.624 0.624
As4 As 0.124 0.876 0.376